1.
Entry from Alexandria via LeMat-Bulk: a geometry-optimized TbBi2Au structure (GGA-PBE).

## Properties
Energy relative to the elements   0.09 eV/atom
Space group   R-3m
Magnetization   0.00 Bohr magnetons per cell

Cell: 3.6301 3.6301 10.7588 Å, 80.29 80.29 60.00°
Fractional positions:
Tb 0.0000 0.0000 0.0000
Au 0.5000 0.5000 0.5000
Bi 0.0999 0.0999 0.7003
Bi 0.9001 0.9001 0.2997

2.
Entry from Alexandria via LeMat-Bulk: a geometry-optimized Tb2BiAu structure (GGA-PBE).

## Properties
Energy relative to the elements   -0.72 eV/atom
Space group   R-3m
Magnetization   0.00 Bohr magnetons per cell

Cell: 4.3798 4.3798 7.5270 Å, 73.09 73.09 60.00°
Fractional positions:
Tb 0.2573 0.2573 0.2282
Tb 0.7427 0.7427 0.7718
Au 0.0000 0.0000 0.0000
Bi 0.5000 0.5000 0.5000

3.
Entry from Alexandria via LeMat-Bulk: a geometry-optimized Tb2BiAu structure (GGA-PBE).

## Properties
Energy relative to the elements   -0.70 eV/atom
Space group   P4/mmm
Magnetization   0.00 Bohr magnetons per cell

Cell: 3.8537 3.8537 7.1276 Å, 90.00 90.00 90.00°
Fractional positions:
Tb 0.0000 0.0000 0.7621
Tb 0.0000 0.0000 0.2379
Au 0.5000 0.5000 0.0000
Bi 0.5000 0.5000 0.5000

> energy relative to the elements of number 1 (TbBi2Au)?

0.09 eV/atom

> Which formula does entry 1 have?

TbBi2Au

Repeat the second record exactly.
Entry from Alexandria via LeMat-Bulk: a geometry-optimized Tb2BiAu structure (GGA-PBE).

## Properties
Energy relative to the elements   -0.72 eV/atom
Space group   R-3m
Magnetization   0.00 Bohr magnetons per cell

Cell: 4.3798 4.3798 7.5270 Å, 73.09 73.09 60.00°
Fractional positions:
Tb 0.2573 0.2573 0.2282
Tb 0.7427 0.7427 0.7718
Au 0.0000 0.0000 0.0000
Bi 0.5000 0.5000 0.5000

> Which of these has the highest energy relative to the elements?

TbBi2Au